Entry from the Alexandria database: a relaxed structure of LaSi3Pt5 (PBE).

Cell and atoms, written as POSCAR:
```
LaSi3Pt5
1.0
1.974 -6.273 0.000
1.974 6.273 0.000
0.000 0.000 12.826
La Si Pt
2 6 10
direct
0.156 0.844 0.750
0.844 0.156 0.250
0.115 0.885 0.250
0.385 0.615 0.038
0.385 0.615 0.462
0.615 0.385 0.538
0.615 0.385 0.962
0.885 0.115 0.750
0.000 0.000 0.000
0.000 0.000 0.500
0.209 0.791 0.082
0.209 0.791 0.418
0.453 0.547 0.646
0.453 0.547 0.854
0.547 0.453 0.146
0.547 0.453 0.354
0.791 0.209 0.582
0.791 0.209 0.918
```

Calculated density in g/cm3: 12.53
Space-group type: Cmcm
Electronic total energy in eV/atom: -6.62



Entry from the Alexandria database: a relaxed structure of TlCd2Ge (PBE).

Cell and atoms, written as POSCAR:
```
TlCd2Ge
1.0
0.000 3.648 3.648
3.648 0.000 3.648
3.648 3.648 0.000
Tl Cd Ge
1 2 1
direct
0.000 0.000 0.000
0.250 0.250 0.250
0.750 0.750 0.750
0.500 0.500 0.500
```

Calculated density in g/cm3: 8.58
Space-group type: Fm-3m
Formation energy in eV/atom: 0.177
Offset from the most stable computed form in eV per atom: 0.0357



> What is the calculated density in the second record?

8.58 g/cm3



> The lowest calculated density belongs to which entry?

TlCd2Ge